(1)
# HgIrNO2 (GGA-PBE, optimized geometry)
data_HgIrNO2
_cell_length_a 4.125
_cell_length_b 4.125
_cell_length_c 3.728
_cell_angle_alpha 90.00
_cell_angle_beta 90.00
_cell_angle_gamma 90.00
_symmetry_space_group_name_H-M 'P 4/m m m'
_symmetry_Int_Tables_number 123
_symmetry_space_group_name_Hall '-P 4 2'
loop_
_atom_site_label
_atom_site_fract_x
_atom_site_fract_y
_atom_site_fract_z
_atom_site_occupancy
Hg1 0.000 0.000 0.000 1
Ir1 0.500 0.500 0.500 1
N1 0.500 0.500 0.000 1
O1 0.000 0.500 0.500 1
# E = -5.167 eV/atom
# uncorrected formation energy = 314 meV/atom


(2)
# CdCo2IrPb (GGA-PBE, optimized geometry)
data_CdCo2IrPb
_cell_length_a 4.765
_cell_length_b 4.765
_cell_length_c 5.050
_cell_angle_alpha 90.00
_cell_angle_beta 90.00
_cell_angle_gamma 90.00
_symmetry_space_group_name_H-M 'P 4/m m m'
_symmetry_Int_Tables_number 123
_symmetry_space_group_name_Hall '-P 4 2'
loop_
_atom_site_label
_atom_site_fract_x
_atom_site_fract_y
_atom_site_fract_z
_atom_site_occupancy
Cd1 0.000 0.000 0.000 1
Co1 0.000 0.500 0.500 1
Ir1 0.500 0.500 0.000 1
Pb1 0.500 0.500 0.500 1
# E = -3.948 eV/atom
# ΔH_f (0 K) = 1.591 eV/atom


(3)
# Pm3TeCF (GGA-PBE, optimized geometry)
data_Pm3TeCF
_cell_length_a 8.443
_cell_length_b 3.951
_cell_length_c 8.741
_cell_angle_alpha 90.00
_cell_angle_beta 103.73
_cell_angle_gamma 90.00
_symmetry_space_group_name_H-M 'P 1 21/m 1'
_symmetry_Int_Tables_number 11
loop_
_symmetry_equiv_pos_as_xyz
'x,y,z'
'-x,-y,-z'
'-x,y+1/2,-z'
'x,-y+1/2,z'
loop_
_atom_site_label
_atom_site_fract_x
_atom_site_fract_y
_atom_site_fract_z
_atom_site_occupancy
Pm1 0.052 0.250 0.351 1
Pm2 0.258 0.250 0.953 1
Pm3 0.356 0.750 0.639 1
Te1 0.326 0.750 0.272 1
C1 0.164 0.250 0.661 1
F1 0.411 0.750 0.922 1
# E = -6.186 eV/atom
# uncorrected formation energy = -1438 meV/atom


(4)
# TbPm2Nd3Sm6 (GGA-PBE, optimized geometry)
data_TbPm2Nd3Sm6
_cell_length_a 6.308
_cell_length_b 10.924
_cell_length_c 12.071
_cell_angle_alpha 90.00
_cell_angle_beta 100.07
_cell_angle_gamma 90.00
_symmetry_space_group_name_H-M 'C 1 2/m 1'
_symmetry_Int_Tables_number 12
loop_
_symmetry_equiv_pos_as_xyz
'x,y,z'
'-x,-y,-z'
'-x,y,-z'
'x,-y,z'
'x+1/2,y+1/2,z'
'-x+1/2,-y+1/2,-z'
'-x+1/2,y+1/2,-z'
'x+1/2,-y+1/2,z'
loop_
_atom_site_label
_atom_site_fract_x
_atom_site_fract_y
_atom_site_fract_z
_atom_site_occupancy
Tb1 0.000 0.000 0.000 1
Pm1 0.000 0.333 0.000 1
Nd1 0.000 0.167 0.500 1
Nd2 0.000 0.500 0.500 1
Sm1 0.249 0.166 0.248 1
Sm2 0.250 0.000 0.751 1
# E = -4.716 eV/atom
# ΔH_f (0 K) = 0.013 eV/atom


(5)
# TiRu3F (GGA-PBE, optimized geometry)
data_TiRu3F
_cell_length_a 4.594
_cell_length_b 4.594
_cell_length_c 4.594
_cell_angle_alpha 90.00
_cell_angle_beta 90.00
_cell_angle_gamma 90.00
_symmetry_space_group_name_H-M 'P m -3 m'
_symmetry_Int_Tables_number 221
_symmetry_space_group_name_Hall '-P 4 2 3'
loop_
_atom_site_label
_atom_site_fract_x
_atom_site_fract_y
_atom_site_fract_z
_atom_site_occupancy
Ti1 0.000 0.000 0.000 1
Ru1 0.000 0.000 0.500 1
F1 0.500 0.500 0.500 1
# E = -6.190 eV/atom
# uncorrected formation energy = 1329 meV/atom


(6)
# CeTmZrSn (GGA-PBE, optimized geometry)
data_CeTmZrSn
_cell_length_a 7.349
_cell_length_b 7.349
_cell_length_c 7.349
_cell_angle_alpha 90.00
_cell_angle_beta 90.00
_cell_angle_gamma 90.00
_symmetry_space_group_name_H-M 'F -4 3 m'
_symmetry_Int_Tables_number 216
_symmetry_space_group_name_Hall 'F -4 2 3'
loop_
_atom_site_label
_atom_site_fract_x
_atom_site_fract_y
_atom_site_fract_z
_atom_site_occupancy
Ce1 0.000 0.000 0.000 1
Tm1 0.250 0.250 0.750 1
Zr1 0.250 0.250 0.250 1
Sn1 0.000 0.000 0.500 1
# E = -5.908 eV/atom
# ΔH_f (0 K) = -0.169 eV/atom


- Look up the E of the first one.
  -5.167 eV/atom


- E of number 5 (TiRu3F)?
  -6.190 eV/atom


- Which of these has the lowest E?
  TiRu3F


Copy entry 3 word for word.
# Pm3TeCF (GGA-PBE, optimized geometry)
data_Pm3TeCF
_cell_length_a 8.443
_cell_length_b 3.951
_cell_length_c 8.741
_cell_angle_alpha 90.00
_cell_angle_beta 103.73
_cell_angle_gamma 90.00
_symmetry_space_group_name_H-M 'P 1 21/m 1'
_symmetry_Int_Tables_number 11
loop_
_symmetry_equiv_pos_as_xyz
'x,y,z'
'-x,-y,-z'
'-x,y+1/2,-z'
'x,-y+1/2,z'
loop_
_atom_site_label
_atom_site_fract_x
_atom_site_fract_y
_atom_site_fract_z
_atom_site_occupancy
Pm1 0.052 0.250 0.351 1
Pm2 0.258 0.250 0.953 1
Pm3 0.356 0.750 0.639 1
Te1 0.326 0.750 0.272 1
C1 0.164 0.250 0.661 1
F1 0.411 0.750 0.922 1
# E = -6.186 eV/atom
# uncorrected formation energy = -1438 meV/atom